DFT (SCAN) results for CaThP2O8 at its PBEsol-relaxed geometry.

ΔE_f (raw) in eV per atom: -3.263
SG: No. 2

Cell: 6.3657 6.6362 6.9196 Å, 88.45 88.28 76.74°
Element x y z (fractional)
O 0.0036 0.1116 0.6772
O 0.4978 0.6261 0.8555
O 0.2310 0.3721 0.7711
O 0.9426 0.2613 0.9976
O 0.7946 0.5110 0.6247
O 0.2054 0.4890 0.3753
O 0.6823 0.9685 0.0892
O 0.5022 0.3739 0.1445
O 0.2920 0.1165 0.2980
O 0.3177 0.0315 0.9108
O 0.4327 0.7493 0.5150
O 0.0574 0.7387 0.0024
O 0.7080 0.8835 0.7020
O 0.7690 0.6279 0.2289
O 0.5673 0.2507 0.4850
O 0.9964 0.8884 0.3228
Ca 0.0847 0.7145 0.6503
Ca 0.9153 0.2855 0.3497
Th 0.3825 0.7733 0.1710
Th 0.6175 0.2267 0.8290
P 0.1201 0.1981 0.8388
P 0.6076 0.6986 0.6695
P 0.3924 0.3014 0.3305
P 0.8799 0.8019 0.1612